[1]
Density functional theory data (PBE-GGA) for an optimized crystal structure of Ho4Mg5Ru2.

Structure (POSCAR):
```
Ho4Mg5Ru2
1.0
-1.458 -3.144 -0.427
6.668 -2.661 -3.177
2.721 -2.508 9.188
Ho Mg Ru
4 5 2
Direct
0.500 0.797 0.549
0.500 0.165 0.854
0.500 0.203 0.451
0.500 0.835 0.146
0.000 0.558 0.324
0.000 0.189 0.162
0.000 0.500 0.000
0.000 0.811 0.838
0.000 0.442 0.676
0.000 0.072 0.650
0.000 0.928 0.350
```

Properties
Density of states at the Fermi level, states/eV/atom: 0.75
VASP energy, eV/atom: -4.27
Formation enthalpy at 0 K, eV per atom: -0.19
Symmetry: P2/m
Spin magnetization, μB/atom: 0.0000

***

[2]
Density functional theory data (PBE-GGA) for an optimized crystal structure of Ho6Mg2Ru.

Structure (POSCAR):
```
Ho6Mg2Ru
1.0
5.515 0.000 -0.261
0.000 8.549 0.000
-2.501 -4.275 5.583
Ho Mg Ru
6 2 1
Direct
0.156 0.427 0.311
0.844 0.117 0.689
0.844 0.573 0.689
0.500 0.177 0.000
0.156 0.883 0.311
0.500 0.823 0.000
0.643 0.642 0.285
0.357 0.358 0.715
0.000 0.000 0.000
```

Properties
Density of states at the Fermi level, states/eV/atom: 0.82
VASP energy, eV/atom: -4.32
Formation enthalpy at 0 K, eV per atom: 0.11
Symmetry: Immm
Spin magnetization, μB/atom: 0.0000

***

> Among the records above, which one has the lowest formation enthalpy at 0 K?

Ho4Mg5Ru2

***

Repeat the first record exactly.
Density functional theory data (PBE-GGA) for an optimized crystal structure of Ho4Mg5Ru2.

Structure (POSCAR):
```
Ho4Mg5Ru2
1.0
-1.458 -3.144 -0.427
6.668 -2.661 -3.177
2.721 -2.508 9.188
Ho Mg Ru
4 5 2
Direct
0.500 0.797 0.549
0.500 0.165 0.854
0.500 0.203 0.451
0.500 0.835 0.146
0.000 0.558 0.324
0.000 0.189 0.162
0.000 0.500 0.000
0.000 0.811 0.838
0.000 0.442 0.676
0.000 0.072 0.650
0.000 0.928 0.350
```

Properties
Density of states at the Fermi level, states/eV/atom: 0.75
VASP energy, eV/atom: -4.27
Formation enthalpy at 0 K, eV per atom: -0.19
Symmetry: P2/m
Spin magnetization, μB/atom: 0.0000